# 1
{
  "formula": "LiP3W2O12",
  "functional": "PBE+U",
  "state": "optimized geometry",
  "total_energy_ry_per_atom": -0.538,
  "crystal_system": "monoclinic",
  "polymorph_energy_mev_per_atom": 0.0,
  "mass_density_g_cm3": 4.5,
  "lattice_angstrom": [[-8.396, -2.009, 1.094], [1.308, -0.641, 8.861], [-2.501, 12.016, 1.239]],
  "species": ["P", "P", "P", "P", "P", "P", "P", "P", "P", "P", "P", "P", "O", "O", "O", "O", "O", "O", "O", "O", "O", "O", "O", "O", "O", "O", "O", "O", "O", "O", "O", "O", "O", "O", "O", "O", "O", "O", "O", "O", "O", "O", "O", "O", "O", "O", "O", "O", "O", "O", "O", "O", "O", "O", "O", "O", "O", "O", "O", "O", "W", "W", "W", "W", "W", "W", "W", "W", "Li", "Li", "Li", "Li"],
  "frac_coords": [[0.603, 0.614, 0.352], [0.464, 0.250, 0.007], [0.103, 0.886, 0.852], [0.964, 0.250, 0.507], [0.611, 0.895, 0.644], [0.389, 0.105, 0.356], [0.536, 0.750, 0.993], [0.397, 0.386, 0.648], [0.111, 0.605, 0.144], [0.897, 0.114, 0.148], [0.889, 0.395, 0.856], [0.036, 0.750, 0.493], [0.651, 0.576, 0.469], [0.065, 0.388, 0.865], [0.078, 0.183, 0.591], [0.682, 0.943, 0.537], [0.680, 0.745, 0.683], [0.383, 0.219, 0.672], [0.832, 0.323, 0.571], [0.922, 0.817, 0.409], [0.320, 0.255, 0.317], [0.117, 0.719, 0.828], [0.659, 0.017, 0.730], [0.072, 0.081, 0.163], [0.547, 0.129, 0.940], [0.332, 0.177, 0.071], [0.818, 0.443, 0.963], [0.578, 0.317, 0.091], [0.928, 0.919, 0.837], [0.304, 0.488, 0.724], [0.151, 0.924, 0.969], [0.349, 0.424, 0.531], [0.341, 0.983, 0.270], [0.668, 0.823, 0.929], [0.180, 0.755, 0.183], [0.841, 0.517, 0.770], [0.422, 0.683, 0.909], [0.400, 0.364, 0.927], [0.565, 0.112, 0.365], [0.804, 0.012, 0.224], [0.318, 0.057, 0.463], [0.572, 0.419, 0.663], [0.953, 0.629, 0.560], [0.168, 0.677, 0.429], [0.428, 0.581, 0.337], [0.159, 0.483, 0.230], [0.617, 0.781, 0.328], [0.849, 0.076, 0.031], [0.435, 0.888, 0.635], [0.820, 0.245, 0.817], [0.900, 0.136, 0.427], [0.196, 0.988, 0.776], [0.696, 0.512, 0.276], [0.600, 0.636, 0.073], [0.100, 0.864, 0.573], [0.182, 0.557, 0.037], [0.047, 0.371, 0.440], [0.935, 0.612, 0.135], [0.453, 0.871, 0.060], [0.883, 0.281, 0.172], [0.742, 0.041, 0.887], [0.750, 0.966, 0.380], [0.242, 0.459, 0.387], [0.258, 0.959, 0.113], [0.250, 0.534, 0.880], [0.758, 0.541, 0.613], [0.250, 0.034, 0.620], [0.750, 0.466, 0.120], [0.692, 0.224, 0.676], [0.808, 0.724, 0.824], [0.308, 0.776, 0.324], [0.192, 0.276, 0.176]]
}

# 2
{
  "formula": "LiP2WO8",
  "functional": "PBE+U",
  "state": "optimized geometry",
  "total_energy_ry_per_atom": -0.524,
  "crystal_system": "monoclinic",
  "polymorph_energy_mev_per_atom": 6.3,
  "mass_density_g_cm3": 3.8,
  "lattice_angstrom": [[-1.526, 6.582, -5.689], [-4.860, -0.214, 1.056], [-1.076, 10.037, 11.901]],
  "species": ["P", "P", "P", "P", "P", "P", "P", "P", "O", "O", "O", "O", "O", "O", "O", "O", "O", "O", "O", "O", "O", "O", "O", "O", "O", "O", "O", "O", "O", "O", "O", "O", "O", "O", "O", "O", "O", "O", "O", "O", "Li", "Li", "Li", "Li", "W", "W", "W", "W"],
  "frac_coords": [[0.442, 0.867, 0.224], [0.558, 0.133, 0.776], [0.692, 0.802, 0.932], [0.942, 0.133, 0.276], [0.308, 0.198, 0.068], [0.808, 0.802, 0.432], [0.192, 0.198, 0.568], [0.058, 0.867, 0.724], [0.246, 0.394, 0.124], [0.550, 0.953, 0.873], [0.720, 0.246, 0.758], [0.441, 0.367, 0.776], [0.746, 0.606, 0.376], [0.450, 0.047, 0.127], [0.367, 0.322, 0.980], [0.193, 0.962, 0.068], [0.254, 0.394, 0.624], [0.016, 0.044, 0.789], [0.950, 0.953, 0.373], [0.780, 0.246, 0.258], [0.484, 0.044, 0.289], [0.941, 0.633, 0.724], [0.754, 0.606, 0.876], [0.220, 0.754, 0.742], [0.059, 0.367, 0.276], [0.066, 0.422, 0.892], [0.559, 0.633, 0.224], [0.516, 0.956, 0.711], [0.633, 0.678, 0.020], [0.984, 0.956, 0.211], [0.280, 0.754, 0.242], [0.434, 0.422, 0.392], [0.807, 0.038, 0.932], [0.867, 0.678, 0.520], [0.050, 0.047, 0.627], [0.133, 0.322, 0.480], [0.934, 0.578, 0.108], [0.693, 0.038, 0.432], [0.307, 0.962, 0.568], [0.566, 0.578, 0.608], [0.286, 0.458, 0.869], [0.786, 0.542, 0.631], [0.714, 0.542, 0.131], [0.214, 0.458, 0.369], [0.599, 0.336, 0.341], [0.401, 0.664, 0.659], [0.099, 0.664, 0.159], [0.901, 0.336, 0.841]]
}

# 3
{
  "formula": "LiP4WO12",
  "functional": "PBE+U",
  "state": "optimized geometry",
  "total_energy_ry_per_atom": -0.526,
  "crystal_system": "orthorhombic",
  "polymorph_energy_mev_per_atom": 0.0,
  "mass_density_g_cm3": 3.2,
  "lattice_angstrom": [[8.373, 0.000, 0.000], [0.000, 9.756, 0.000], [0.000, 0.000, 13.044]],
  "species": ["O", "O", "O", "O", "O", "O", "O", "O", "O", "O", "O", "O", "O", "O", "O", "O", "O", "O", "O", "O", "O", "O", "O", "O", "O", "O", "O", "O", "O", "O", "O", "O", "O", "O", "O", "O", "O", "O", "O", "O", "O", "O", "O", "O", "O", "O", "O", "O", "Li", "Li", "Li", "Li", "P", "P", "P", "P", "P", "P", "P", "P", "P", "P", "P", "P", "P", "P", "P", "P", "W", "W", "W", "W"],
  "frac_coords": [[0.349, 0.468, 0.178], [0.651, 0.968, 0.178], [0.151, 0.532, 0.678], [0.957, 0.120, 0.423], [0.093, 0.379, 0.098], [0.849, 0.032, 0.678], [0.043, 0.880, 0.577], [0.818, 0.128, 0.065], [0.849, 0.468, 0.322], [0.375, 0.621, 0.866], [0.089, 0.567, 0.237], [0.625, 0.121, 0.866], [0.625, 0.379, 0.134], [0.651, 0.532, 0.822], [0.911, 0.067, 0.237], [0.818, 0.372, 0.935], [0.407, 0.879, 0.402], [0.407, 0.621, 0.598], [0.182, 0.872, 0.935], [0.151, 0.968, 0.322], [0.911, 0.433, 0.763], [0.457, 0.120, 0.077], [0.682, 0.872, 0.565], [0.875, 0.621, 0.634], [0.375, 0.879, 0.134], [0.043, 0.620, 0.423], [0.907, 0.621, 0.902], [0.593, 0.121, 0.598], [0.589, 0.567, 0.263], [0.907, 0.879, 0.098], [0.125, 0.379, 0.366], [0.125, 0.121, 0.634], [0.875, 0.879, 0.366], [0.957, 0.380, 0.577], [0.593, 0.379, 0.402], [0.182, 0.628, 0.065], [0.411, 0.433, 0.737], [0.682, 0.628, 0.435], [0.093, 0.121, 0.902], [0.318, 0.372, 0.565], [0.543, 0.880, 0.923], [0.089, 0.933, 0.763], [0.457, 0.380, 0.923], [0.318, 0.128, 0.435], [0.589, 0.933, 0.737], [0.411, 0.067, 0.263], [0.349, 0.032, 0.822], [0.543, 0.620, 0.077], [0.005, 0.250, 0.000], [0.505, 0.250, 0.500], [0.995, 0.750, 0.000], [0.495, 0.750, 0.500], [0.532, 0.993, 0.844], [0.327, 0.004, 0.365], [0.468, 0.493, 0.844], [0.827, 0.004, 0.135], [0.468, 0.007, 0.156], [0.532, 0.507, 0.156], [0.968, 0.493, 0.656], [0.827, 0.496, 0.865], [0.032, 0.507, 0.344], [0.173, 0.996, 0.865], [0.968, 0.007, 0.344], [0.673, 0.504, 0.365], [0.673, 0.996, 0.635], [0.173, 0.504, 0.135], [0.032, 0.993, 0.656], [0.327, 0.496, 0.635], [0.373, 0.750, 0.000], [0.873, 0.750, 0.500], [0.127, 0.250, 0.500], [0.627, 0.250, 0.000]]
}

# 4
{
  "formula": "LiPWO2",
  "functional": "PBE+U",
  "state": "optimized geometry",
  "total_energy_ry_per_atom": -0.340,
  "crystal_system": "tetragonal",
  "polymorph_energy_mev_per_atom": 1383.0,
  "mass_density_g_cm3": 7.3,
  "lattice_angstrom": [[-2.959, 0.039, -2.252], [-2.149, -1.162, 2.804], [-0.759, 3.979, 1.066]],
  "species": ["O", "O", "Li", "W", "P"],
  "frac_coords": [[0.500, 0.000, 0.000], [0.000, 0.500, 0.000], [0.000, 0.000, 0.000], [0.500, 0.500, 0.500], [0.000, 0.000, 0.500]]
}